# 1
Material: CeDy2Y3
Method: DFT, PBE-GGA
State: relaxed

Properties
- SG = Ibam
- DOS(E_F) (states/eV per atom) = 2.7089
- magnetization (μB per atom) = 0.3312
- DFT formation energy (meV per atom) = 157

a b c (Å): 5.854 11.738 8.646
angles (deg): 132.75 109.79 90.00
Last column: magnetic moment on the atom in μB.
Fractional coordinates of all 12 atoms:
Ce 0.000 0.500 0.000  0.87
Ce 0.000 0.000 0.000  0.87
Dy 0.661 0.670 0.340  0.15
Dy 0.321 0.830 0.660  0.15
Dy 0.679 0.170 0.340  0.15
Dy 0.339 0.330 0.660  0.15
Y 0.500 0.250 0.000  0.09
Y 0.500 0.750 0.000  0.09
Y 0.170 0.420 0.340  0.08
Y 0.830 0.080 0.660  0.08
Y 0.830 0.580 0.660  0.08
Y 0.170 0.920 0.340  0.08


# 2
Material: Ba2TmCdTe5
Method: DFT, PBE-GGA
State: relaxed

Properties
- SG = Cmc2_1
- DOS(E_F) (states/eV per atom) = 0.6041
- magnetization (μB per atom) = 0.0000
- formation energy from raw total energies (meV per atom) = -1227

a b c (Å): 4.582 10.479 14.083
angles (deg): 90.00 90.00 102.63
Fractional coordinates of all 18 atoms:
Ba 0.872 0.743 0.817
Ba 0.117 0.235 0.689
Ba 0.128 0.257 0.317
Ba 0.883 0.765 0.189
Tm 0.793 0.587 0.517
Tm 0.207 0.413 0.017
Cd 0.557 0.115 0.941
Cd 0.443 0.885 0.441
Te 0.353 0.706 0.007
Te 0.695 0.390 0.868
Te 0.496 0.992 0.764
Te 0.291 0.583 0.662
Te 0.944 0.887 0.559
Te 0.647 0.294 0.507
Te 0.305 0.610 0.368
Te 0.504 0.008 0.264
Te 0.709 0.417 0.162
Te 0.056 0.113 0.059


# 3
Material: ScRePt2
Method: DFT, PBE-GGA
State: relaxed

Properties
- SG = I-42d
- DOS(E_F) (states/eV per atom) = 0.9656
- magnetization (μB per atom) = 0.0003
- DFT formation energy (meV per atom) = 33

a b c (Å): 3.966 3.966 9.497
angles (deg): 77.95 77.95 90.00
Fractional coordinates of all 8 atoms:
Sc 0.500 0.500 0.000
Sc 0.250 0.750 0.500
Re 0.000 0.000 0.000
Re 0.750 0.250 0.500
Pt 0.634 0.125 0.250
Pt 0.116 0.625 0.250
Pt 0.375 0.366 0.750
Pt 0.875 0.884 0.750


# 4
Material: BePtSe
Method: DFT, PBE-GGA
State: relaxed

Properties
- SG = Pnma
- DOS(E_F) (states/eV per atom) = 0.0819
- magnetization (μB per atom) = 0.0000
- formation energy from raw total energies (meV per atom) = -259

a b c (Å): 6.837 3.725 7.868
angles (deg): 90.00 90.00 90.00
Fractional coordinates of all 12 atoms:
Be 0.883 0.250 0.459
Be 0.617 0.750 0.959
Be 0.117 0.750 0.541
Be 0.383 0.250 0.041
Se 0.861 0.250 0.845
Se 0.639 0.750 0.345
Se 0.139 0.750 0.155
Se 0.361 0.250 0.655
Pt 0.201 0.250 0.377
Pt 0.299 0.750 0.877
Pt 0.799 0.750 0.623
Pt 0.701 0.250 0.123


# 5
Material: BaCuAs2
Method: DFT, PBE-GGA
State: relaxed

Properties
- SG = Pm
- DOS(E_F) (states/eV per atom) = 0.4173
- magnetization (μB per atom) = 0.0000
- DFT formation energy (meV per atom) = -455

a b c (Å): 4.714 4.998 4.661
angles (deg): 88.54 90.00 90.00
Fractional coordinates of all 4 atoms:
As 0.000 0.015 0.981
As 0.500 0.034 0.282
Ba 0.000 0.509 0.458
Cu 0.500 0.942 0.779


# 6
Material: Na2HfTe4Au
Method: DFT, PBE-GGA
State: relaxed

Properties
- SG = P2/m
- DOS(E_F) (states/eV per atom) = 0.4781
- magnetization (μB per atom) = 0.0000
- formation energy from raw total energies (meV per atom) = -630

a b c (Å): 4.150 8.213 8.085
angles (deg): 115.81 90.00 90.00
Fractional coordinates of all 8 atoms:
Na 0.500 0.000 0.500
Na 0.000 0.500 0.500
Hf 0.500 0.500 0.000
Te 0.500 0.242 0.163
Te 0.500 0.758 0.837
Te 0.000 0.297 0.744
Te 0.000 0.703 0.256
Au 0.000 0.000 0.000


# 7
Material: Al2AgOsSe
Method: DFT, PBE-GGA
State: relaxed

Properties
- SG = P4/mmm
- DOS(E_F) (states/eV per atom) = 1.1849
- magnetization (μB per atom) = 0.0775
- formation energy from raw total energies (meV per atom) = 676

a b c (Å): 4.689 5.247 4.689
angles (deg): 90.00 90.00 90.00
Last column: magnetic moment on the atom in μB.
Fractional coordinates of all 5 atoms:
Os 0.000 0.000 0.000  0.23
Se 0.500 0.500 0.500  0.06
Ag 0.000 0.500 0.000  0.03
Al 0.000 0.000 0.500  0.00
Al 0.500 0.000 0.000  0.01


# 8
Material: Tm12Cu6Pt
Method: DFT, PBE-GGA
State: relaxed

Properties
- SG = Im-3
- DOS(E_F) (states/eV per atom) = 1.0562
- magnetization (μB per atom) = 0.0000
- DFT formation energy (meV per atom) = -279

a b c (Å): 8.276 8.276 8.276
angles (deg): 109.47 109.47 109.47
Fractional coordinates of all 19 atoms:
Tm 0.288 0.103 0.814
Tm 0.288 0.474 0.186
Tm 0.712 0.526 0.814
Tm 0.712 0.897 0.186
Tm 0.103 0.814 0.288
Tm 0.474 0.186 0.288
Tm 0.526 0.814 0.712
Tm 0.897 0.186 0.712
Tm 0.814 0.288 0.103
Tm 0.186 0.288 0.474
Tm 0.814 0.712 0.526
Tm 0.186 0.712 0.897
Cu 0.372 0.500 0.872
Cu 0.628 0.500 0.128
Cu 0.500 0.872 0.372
Cu 0.500 0.128 0.628
Cu 0.872 0.372 0.500
Cu 0.128 0.628 0.500
Pt 0.000 0.000 0.000


Q: Which value of magnetization does entry 4 give?
A: 0.0000 μB per atom


Q: What is the formula in the sixth record?
A: Na2HfTe4Au


What did the second record say?
Material: Ba2TmCdTe5
Method: DFT, PBE-GGA
State: relaxed

Properties
- SG = Cmc2_1
- DOS(E_F) (states/eV per atom) = 0.6041
- magnetization (μB per atom) = 0.0000
- formation energy from raw total energies (meV per atom) = -1227

a b c (Å): 4.582 10.479 14.083
angles (deg): 90.00 90.00 102.63
Fractional coordinates of all 18 atoms:
Ba 0.872 0.743 0.817
Ba 0.117 0.235 0.689
Ba 0.128 0.257 0.317
Ba 0.883 0.765 0.189
Tm 0.793 0.587 0.517
Tm 0.207 0.413 0.017
Cd 0.557 0.115 0.941
Cd 0.443 0.885 0.441
Te 0.353 0.706 0.007
Te 0.695 0.390 0.868
Te 0.496 0.992 0.764
Te 0.291 0.583 0.662
Te 0.944 0.887 0.559
Te 0.647 0.294 0.507
Te 0.305 0.610 0.368
Te 0.504 0.008 0.264
Te 0.709 0.417 0.162
Te 0.056 0.113 0.059


Q: The highest DOS(E_F) belongs to which entry?
A: CeDy2Y3